SiNiF2: optimized geometry, PBE with a Hubbard U.

Geometry as extended XYZ:
```
4
Lattice="0.000 2.834 2.834 2.834 0.000 2.834 2.834 2.834 0.000" Properties=species:S:1:pos:R:3 pbc="T T T"
Si 0.000 0.000 0.000
F 4.251 4.251 4.251
F 1.417 1.417 1.417
Ni 2.834 2.834 2.834
```

Results
Its space group is No. 225. For the energy relative to the lowest polymorph listed for this composition, the calculation gives 3.621 eV/f.u. The density comes out at 4.6 g/cm³. As for the total DFT energy (no corrections): -0.23225 Ry/atom.